The following is a DFT calculation (GGA-PBE) of a relaxed structure of Ti2Te2W.

It has space group P4/mbm (No. 127), with a = 7.312 Å, b = 7.312 Å, c = 3.654 Å, α = 90.00°, β = 90.00° and γ = 90.00°. The asymmetric unit holds Ti at (0.141, 0.359, 0.000), Te at (0.165, 0.665, 0.500) and W at (0.000, 0.000, 0.000).

Its uncorrected formation energy is 0.271 eV/atom. As for the energy above the most stable polymorph in this dataset: 0 meV per atom. The volume is 19.540 Å³/atom.